# TcTe2Os | Alexandria via LeMat-Bulk | PBE-GGA | relaxed
data_TcTe2Os
_cell_length_a 3.324
_cell_length_b 3.318
_cell_length_c 6.613
_cell_angle_alpha 90.00
_cell_angle_beta 90.11
_cell_angle_gamma 90.00
_space_group_name_H-M_alt 'P 1 2/m 1'
_space_group_IT_number 10
loop_
_space_group_symop_operation_xyz
'x,y,z'
'-x,-y,-z'
'-x,y,-z'
'x,-y,z'
loop_
_atom_site_label
_atom_site_fract_x
_atom_site_fract_y
_atom_site_fract_z
Tc1 0.000 0.000 0.000
Te1 0.499 0.500 0.752
Os1 0.000 0.000 0.500
# - distance to the lowest polymorph of the same formula (eV/atom) = 0.3735
# - E_form (uncorrected) (eV/atom) = 0.66
# - electronic total energy (eV per atom) = -6.310

=====

# TcTe3Os | Alexandria via LeMat-Bulk | PBE-GGA | relaxed
data_TcTe3Os
_cell_length_a 5.104
_cell_length_b 5.104
_cell_length_c 5.104
_cell_angle_alpha 90.00
_cell_angle_beta 90.00
_cell_angle_gamma 90.00
_space_group_name_H-M_alt 'P m -3 m'
_space_group_IT_number 221
_space_group_name_Hall '-P 4 2 3'
loop_
_atom_site_label
_atom_site_fract_x
_atom_site_fract_y
_atom_site_fract_z
Tc1 0.000 0.000 0.000
Te1 0.000 0.500 0.500
Os1 0.500 0.500 0.500
# - distance to the lowest polymorph of the same formula (eV/atom) = 0.0000
# - E_form (uncorrected) (eV/atom) = 1.51
# - electronic total energy (eV per atom) = -4.694

=====

# TcTe2Os | Alexandria via LeMat-Bulk | PBE-GGA | relaxed
data_TcTe2Os
_cell_length_a 3.3040
_cell_length_b 3.3040
_cell_length_c 26.6376
_cell_angle_alpha 90.00
_cell_angle_beta 90.00
_cell_angle_gamma 120.00
_space_group_name_H-M_alt 'R -3 m'
_space_group_IT_number 166
_space_group_name_Hall '-R 3 2"'
loop_
_atom_site_label
_atom_site_fract_x
_atom_site_fract_y
_atom_site_fract_z
Tc1 0.0000 0.0000 0.0000
Te1 0.0000 0.0000 0.0945
Os1 0.0000 0.0000 0.5000
# - distance to the lowest polymorph of the same formula (eV/atom) = 0.6529
# - E_form (uncorrected) (eV/atom) = 0.94
# - electronic total energy (eV per atom) = -6.031

=====

# TcTe2Os | Alexandria via LeMat-Bulk | PBE-GGA | relaxed
data_TcTe2Os
_cell_length_a 6.637
_cell_length_b 6.637
_cell_length_c 6.637
_cell_angle_alpha 90.00
_cell_angle_beta 90.00
_cell_angle_gamma 90.00
_space_group_name_H-M_alt 'F m -3 m'
_space_group_IT_number 225
_space_group_name_Hall '-F 4 2 3'
loop_
_atom_site_label
_atom_site_fract_x
_atom_site_fract_y
_atom_site_fract_z
Tc1 0.000 0.000 0.000
Te1 0.250 0.250 0.250
Os1 0.000 0.000 0.500
# - distance to the lowest polymorph of the same formula (eV/atom) = 0.3785
# - E_form (uncorrected) (eV/atom) = 0.66
# - electronic total energy (eV per atom) = -6.305